[1]
Here is an optimized crystal structure of ThPdN from Alexandria. Energies are from PBE-GGA.

a = 4.095 Å, b = 4.095 Å, c = 7.011 Å
α = 90.00°, β = 90.00°, γ = 90.00°
Sites, in units of the cell vectors:
1 Th 0.000 0.000 0.000
2 Th 0.500 0.500 0.500
3 Pd 0.000 0.000 0.396
4 Pd 0.500 0.500 0.896
5 N 0.000 0.000 0.695
6 N 0.500 0.500 0.195

Calculated values
Uncorrected formation energy: -282.9 meV per atom

=====

[2]
Here is an optimized crystal structure of ThZnPdN from Alexandria. Energies are from PBE-GGA.

a = 4.140 Å, b = 4.140 Å, c = 8.711 Å
α = 90.00°, β = 90.00°, γ = 90.00°
Sites, in units of the cell vectors:
1 Th 0.250 0.250 0.130
2 Th 0.750 0.750 0.870
3 Zn 0.250 0.750 0.500
4 Zn 0.750 0.250 0.500
5 Pd 0.250 0.250 0.674
6 Pd 0.750 0.750 0.326
7 N 0.250 0.750 0.000
8 N 0.750 0.250 0.000

Calculated values
Uncorrected formation energy: -979.4 meV per atom

=====

[3]
Here is an optimized crystal structure of Ti3PdN from Alexandria. Energies are from PBE-GGA.

a = 3.802 Å, b = 3.802 Å, c = 13.876 Å
α = 90.00°, β = 90.00°, γ = 120.00°
Sites, in units of the cell vectors:
1 Ti 0.000 0.000 0.250
2 Ti 0.000 0.000 0.750
3 Ti 0.333 0.667 0.060
4 Ti 0.333 0.667 0.440
5 Ti 0.667 0.333 0.560
6 Ti 0.667 0.333 0.940
7 Pd 0.333 0.667 0.250
8 Pd 0.667 0.333 0.750
9 N 0.000 0.000 0.000
10 N 0.000 0.000 0.500

Calculated values
Uncorrected formation energy: 162.8 meV per atom

=====

[4]
Here is an optimized crystal structure of Ti3PdN from Alexandria. Energies are from PBE-GGA.

a = 5.794 Å, b = 5.794 Å, c = 8.383 Å
α = 91.26°, β = 91.26°, γ = 29.92°
Sites, in units of the cell vectors:
1 Ti 0.060 0.060 0.370
2 Ti 0.311 0.311 0.374
3 Ti 0.340 0.340 0.886
4 Ti 0.660 0.660 0.114
5 Ti 0.689 0.689 0.626
6 Ti 0.940 0.940 0.630
7 Pd 0.082 0.082 0.875
8 Pd 0.918 0.918 0.125
9 N 0.317 0.317 0.631
10 N 0.683 0.683 0.369

Calculated values
Uncorrected formation energy: -921.6 meV per atom

=====

[5]
Here is an optimized crystal structure of Ti3PdN from Alexandria. Energies are from PBE-GGA.

a = 11.172 Å, b = 11.172 Å, c = 11.172 Å
α = 158.80°, β = 158.80°, γ = 30.15°
Sites, in units of the cell vectors:
1 Ti 0.183 0.183 0.000
2 Ti 0.363 0.611 0.752
3 Ti 0.389 0.141 0.752
4 Ti 0.389 0.637 0.248
5 Ti 0.817 0.817 0.000
6 Ti 0.859 0.611 0.248
7 Pd 0.250 0.750 0.500
8 Pd 0.500 0.500 0.000
9 N 0.645 0.145 0.500
10 N 0.855 0.355 0.500

Calculated values
Uncorrected formation energy: 450.3 meV per atom

=====

[6]
Here is an optimized crystal structure of Ti3PdN from Alexandria. Energies are from PBE-GGA.

a = 4.187 Å, b = 4.058 Å, c = 8.159 Å
α = 90.00°, β = 90.00°, γ = 90.00°
Sites, in units of the cell vectors:
1 Ti 0.250 0.000 0.111
2 Ti 0.250 0.000 0.621
3 Ti 0.250 0.500 0.365
4 Ti 0.750 0.000 0.379
5 Ti 0.750 0.000 0.889
6 Ti 0.750 0.500 0.635
7 Pd 0.250 0.500 0.882
8 Pd 0.750 0.500 0.118
9 N 0.250 0.000 0.360
10 N 0.750 0.000 0.640

Calculated values
Uncorrected formation energy: -983.1 meV per atom

=====

[7]
Here is an optimized crystal structure of Ti3PdN from Alexandria. Energies are from PBE-GGA.

a = 7.437 Å, b = 7.437 Å, c = 5.117 Å
α = 91.82°, β = 91.82°, γ = 101.67°
Sites, in units of the cell vectors:
1 Ti 0.059 0.709 0.944
2 Ti 0.185 0.560 0.406
3 Ti 0.291 0.941 0.556
4 Ti 0.308 0.447 0.902
5 Ti 0.440 0.815 0.094
6 Ti 0.447 0.308 0.402
7 Ti 0.553 0.692 0.598
8 Ti 0.560 0.185 0.906
9 Ti 0.692 0.553 0.098
10 Ti 0.709 0.059 0.444
11 Ti 0.815 0.440 0.594
12 Ti 0.941 0.291 0.056
13 Pd 0.076 0.197 0.577
14 Pd 0.197 0.076 0.077
15 Pd 0.803 0.924 0.923
16 Pd 0.924 0.803 0.423
17 N 0.299 0.701 0.750
18 N 0.437 0.563 0.250
19 N 0.563 0.437 0.750
20 N 0.701 0.299 0.250

Calculated values
Uncorrected formation energy: -956.4 meV per atom

=====

[8]
Here is an optimized crystal structure of Ti6Pd2N from Alexandria. Energies are from PBE-GGA.

a = 2.959 Å, b = 7.211 Å, c = 7.211 Å
α = 118.62°, β = 90.00°, γ = 90.00°
Sites, in units of the cell vectors:
1 Ti 0.000 0.000 0.000
2 Ti 0.000 0.546 0.756
3 Ti 0.000 0.756 0.546
4 Ti 0.500 0.142 0.771
5 Ti 0.500 0.329 0.329
6 Ti 0.500 0.771 0.142
7 Pd 0.000 0.094 0.442
8 Pd 0.000 0.442 0.094
9 N 0.500 0.798 0.798

Calculated values
Uncorrected formation energy: -491.8 meV per atom